No. 1
A plane-wave DFT calculation with PBE was carried out for PmAgAsO after structural relaxation.

Its total energy is -5.52 eV per atom.

The space group is Pmc2_1 (No. 26) and the conventional cell measures 3.804, 7.968 and 6.102 Å, with angles of 90.00, 90.00 and 90.00 degrees. Symmetry generates all atoms from Pm at (0.000, 0.220, 0.000), Ag at (0.500, 0.368, 0.513), As at (0.000, 0.157, 0.500) and O at (0.500, 0.352, 0.001).

***

No. 2
A plane-wave DFT calculation with PBE was carried out for RbNdTe after structural relaxation.

Its total energy is -3.31 eV per atom.

The space group is F-43m (No. 216) and the conventional cell measures 7.831, 7.831 and 7.831 Å, with angles of 90.00, 90.00 and 90.00 degrees. Symmetry generates all atoms from Rb at (0.000, 0.000, 0.000), Nd at (0.000, 0.000, 0.500) and Te at (0.250, 0.250, 0.750).

***

No. 3
A plane-wave DFT calculation with PBE was carried out for BeCoWAu after structural relaxation.

Its total energy is -6.28 eV per atom.

The space group is F-43m (No. 216) and the conventional cell measures 5.991, 5.991 and 5.991 Å, with angles of 90.00, 90.00 and 90.00 degrees. Symmetry generates all atoms from Be at (0.000, 0.000, 0.000), Co at (0.250, 0.250, 0.250), W at (0.250, 0.250, 0.750) and Au at (0.000, 0.000, 0.500).

***

No. 4
A plane-wave DFT calculation with PBE was carried out for RbPrTmTe3 after structural relaxation.

Its total energy is -4.44 eV per atom.

The space group is Cmcm (No. 63) and the conventional cell measures 5.150, 16.925 and 10.880 Å, with angles of 90.00, 90.00 and 90.00 degrees. Symmetry generates all atoms from Rb at (0.000, 0.230, 0.250), Pr at (0.000, 0.492, 0.250), Tm at (0.000, 0.000, 0.000), Te at (0.000, 0.098, 0.750) and Te at (0.000, 0.386, 0.533).

***

No. 5
A plane-wave DFT calculation with PBE was carried out for LiMgAgHg after structural relaxation.

Its total energy is -1.92 eV per atom.

The space group is P4mm (No. 99) and the conventional cell measures 3.335, 3.335 and 6.589 Å, with angles of 90.00, 90.00 and 90.00 degrees. Symmetry generates all atoms from Li at (0.000, 0.000, 0.000), Mg at (0.000, 0.000, 0.480), Ag at (0.500, 0.500, 0.232) and Hg at (0.500, 0.500, 0.766).

***

No. 6
A plane-wave DFT calculation with PBE was carried out for TbGd2Sn3Pb4 after structural relaxation.

Its total energy is -4.51 eV per atom.

The space group is Cmmm (No. 65) and the conventional cell measures 4.626, 25.731 and 4.702 Å, with angles of 90.00, 90.00 and 90.00 degrees. Symmetry generates all atoms from Tb at (0.000, 0.000, 0.000), Gd at (0.000, 0.186, 0.000), Sn at (0.000, 0.405, 0.000), Sn at (0.000, 0.500, 0.500), Pb at (0.000, 0.096, 0.500) and Pb at (0.000, 0.294, 0.500).

***

No. 7
A plane-wave DFT calculation with PBE was carried out for TmSiO3 after structural relaxation.

Its total energy is -7.35 eV per atom.

The space group is I4/mcm (No. 140) and the conventional cell measures 5.047, 5.047 and 7.778 Å, with angles of 90.00, 90.00 and 90.00 degrees. Symmetry generates all atoms from Tm at (0.000, 0.500, 0.250), Si at (0.000, 0.000, 0.000), O at (0.000, 0.000, 0.250) and O at (0.186, 0.314, 0.000).

***

No. 8
A plane-wave DFT calculation with PBE was carried out for ScFeReBi after structural relaxation.

Its total energy is -7.38 eV per atom.

The space group is F-43m (No. 216) and the conventional cell measures 6.493, 6.493 and 6.493 Å, with angles of 90.00, 90.00 and 90.00 degrees. Symmetry generates all atoms from Sc at (0.000, 0.000, 0.000), Fe at (0.250, 0.250, 0.750), Re at (0.250, 0.250, 0.250) and Bi at (0.000, 0.000, 0.500).

***

No. 9
A plane-wave DFT calculation with PBE was carried out for PrHoNi2Ge4 after structural relaxation.

Its total energy is -5.59 eV per atom.

The space group is Amm2 (No. 38) and the conventional cell measures 4.217, 4.192 and 16.709 Å, with angles of 90.00, 90.00 and 90.00 degrees. Symmetry generates all atoms from Pr at (0.000, 0.000, 0.000), Ho at (0.500, 0.000, 0.216), Ni at (0.000, 0.000, 0.787), Ni at (0.500, 0.000, 0.425), Ge at (0.000, 0.000, 0.356), Ge at (0.000, 0.000, 0.651), Ge at (0.500, 0.000, 0.566) and Ge at (0.500, 0.000, 0.855).

***

No. 10
A plane-wave DFT calculation with PBE was carried out for CuPt after structural relaxation.

As for the formation energy: -0.145 eV per atom. Its total energy is -5.03 eV per atom.

The space group is P-6m2 (No. 187) and the conventional cell measures 2.7157, 2.7157 and 4.3592 Å, with angles of 90.00, 90.00 and 120.00 degrees. Symmetry generates all atoms from Cu at (0.0000, 0.0000, 0.0000) and Pt at (0.6667, 0.3333, 0.5000).

***

No. 11
A plane-wave DFT calculation with PBE was carried out for Pr2GeO4 after structural relaxation.

Its total energy is -7.27 eV per atom.

The space group is Fd-3m (No. 227, origin choice 2) and the conventional cell measures 9.951, 9.951 and 9.951 Å, with angles of 90.00, 90.00 and 90.00 degrees. Symmetry generates all atoms from Pr at (0.000, 0.000, 0.000), Ge at (0.125, 0.125, 0.625) and O at (0.008, 0.008, 0.242).

***

No. 12
A plane-wave DFT calculation with PBE was carried out for YCoSn after structural relaxation.

Its total energy is -6.36 eV per atom.

The space group is Pnma (No. 62) and the conventional cell measures 7.231, 4.567 and 7.403 Å, with angles of 90.00, 90.00 and 90.00 degrees. Symmetry generates all atoms from Y at (0.020, 0.250, 0.202), Co at (0.162, 0.750, 0.436) and Sn at (0.202, 0.250, 0.604).